This record from Alexandria via LeMat-Bulk describes HgOsBr2 after structural relaxation. The functional is PBE-GGA.

Lattice parameters (Å, degrees): 5.0177 5.0177 5.0177 60.00 60.00 60.00
Positions (direct):
Os (0.0000, 0.0000, 0.0000)
Br (0.7500, 0.7500, 0.7500)
Hg (0.5000, 0.5000, 0.5000)
Br (0.2500, 0.2500, 0.2500)

Total energy = -2.477 eV per atom
Offset from the most stable computed form = 0.9375 eV per atom
Space-group type = Fm-3m (225)
Formation energy from raw total energies = 1.243 eV/atom
N(E_F) = 2.4 states/eV/cell